VASP calculation (SCAN) on a crystal of Tl8In relaxed with PBEsol.

Lattice parameters (Å, degrees): 10.267 10.267 4.723 90.00 90.00 90.00
Space group I4/mmm (No. 139)
Unique sites:
Tl 0.000 0.331 0.000 [8 per cell]
Tl 0.165 0.165 0.500 [8 per cell]
In 0.000 0.000 0.000 [2 per cell]

Output
E: -67.999 eV per atom
E_form: 0.0288 eV per atom
Volume: 27.66 A^3/atom

---

VASP calculation (SCAN) on a crystal of TlIn relaxed with PBEsol.

Lattice parameters (Å, degrees): 4.858 4.858 9.027 90.00 90.00 90.00
Space group I4_1/amd (No. 141, origin choice 2)
Unique sites:
Tl 0.000 0.250 0.375 [4 per cell]
In 0.000 0.250 0.875 [4 per cell]

Output
E: -52.812 eV per atom
E_form: 0.0603 eV per atom
Volume: 26.63 A^3/atom

---

VASP calculation (SCAN) on a crystal of Tl4In5 relaxed with PBEsol.

Lattice parameters (Å, degrees): 9.4377 9.4377 6.2860 90.00 90.00 120.00
Space group P6_3/mcm (No. 193)
Unique sites:
Tl 0.0000 0.0000 0.0000 [2 per cell]
Tl 0.0000 0.3268 0.2500 [6 per cell]
In 0.0000 0.3435 0.7500 [6 per cell]
In 0.3333 0.6667 0.0000 [4 per cell]

Output
E: -50.626 eV per atom
E_form: 0.0814 eV per atom
Volume: 26.94 A^3/atom

---

VASP calculation (SCAN) on a crystal of TlIn7 relaxed with PBEsol.

Lattice parameters (Å, degrees): 9.361 9.361 9.361 90.00 90.00 90.00
Space group Fm-3m (No. 225)
Unique sites:
Tl 0.000 0.000 0.000 [4 per cell]
In 0.000 0.000 0.500 [4 per cell]
In 0.000 0.250 0.250 [24 per cell]

Output
E: -38.187 eV per atom
E_form: 0.0713 eV per atom
Volume: 25.63 A^3/atom

---

VASP calculation (SCAN) on a crystal of TlIn2 relaxed with PBEsol.

Lattice parameters (Å, degrees): 3.363 3.363 13.903 90.00 90.00 90.00
Space group I4/mmm (No. 139)
Unique sites:
Tl 0.000 0.000 0.000 [2 per cell]
In 0.000 0.000 0.329 [4 per cell]

Output
E: -46.319 eV per atom
Energy above the lowest structure with this stoichiometry: 0.014 eV per atom
E_form: 0.0577 eV per atom
Volume: 26.21 A^3/atom

---

VASP calculation (SCAN) on a crystal of TlIn relaxed with PBEsol.

Lattice parameters (Å, degrees): 3.3970 3.3970 5.3661 90.00 90.00 120.00
Space group P-6m2 (No. 187)
Unique sites:
Tl 0.0000 0.0000 0.0000 [1 per cell]
In 0.6667 0.3333 0.5000 [1 per cell]

Output
E: -52.813 eV per atom
E_form: 0.0591 eV per atom
Volume: 26.81 A^3/atom

---

VASP calculation (SCAN) on a crystal of Tl2In relaxed with PBEsol.

Lattice parameters (Å, degrees): 13.995 13.995 13.995 90.00 90.00 90.00
Space group Fd-3m (No. 227, origin choice 2)
Unique sites:
Tl 0.000 0.000 0.000 [16 per cell]
Tl 0.066 0.375 0.875 [48 per cell]
In 0.034 0.034 0.216 [32 per cell]

Output
E: -59.307 eV per atom
E_form: 0.0609 eV per atom
Volume: 28.55 A^3/atom

---

VASP calculation (SCAN) on a crystal of TlIn relaxed with PBEsol.

Lattice parameters (Å, degrees): 5.920 5.413 6.709 90.00 90.00 90.00
Space group Pnma (No. 62)
Unique sites:
Tl 0.095 0.250 0.124 [4 per cell]
In 0.081 0.250 0.626 [4 per cell]

Output
E: -52.813 eV per atom
E_form: 0.0598 eV per atom
Volume: 26.87 A^3/atom

---

VASP calculation (SCAN) on a crystal of Tl5In3 relaxed with PBEsol.

Lattice parameters (Å, degrees): 9.051 9.289 5.137 90.00 90.00 90.00
Space group Cmmm (No. 65)
Unique sites:
Tl 0.000 0.000 0.000 [2 per cell]
Tl 0.000 0.243 0.500 [4 per cell]
Tl 0.250 0.250 0.000 [4 per cell]
In 0.000 0.500 0.000 [2 per cell]
In 0.241 0.500 0.500 [4 per cell]

Output
E: -57.690 eV per atom
Energy above the lowest structure with this stoichiometry: 0.000 eV per atom
E_form: 0.0541 eV per atom
Volume: 26.99 A^3/atom

---

VASP calculation (SCAN) on a crystal of TlIn relaxed with PBEsol.

Lattice parameters (Å, degrees): 5.1664 5.1664 9.8501 90.00 90.00 120.00
Space group P6_3/mmc (No. 194)
Unique sites:
Tl 0.3333 0.6667 0.0754 [4 per cell]
In 0.0000 0.0000 0.2500 [2 per cell]
In 0.3333 0.6667 0.7500 [2 per cell]

Output
E: -52.799 eV per atom
E_form: 0.0734 eV per atom
Volume: 28.46 A^3/atom

---

VASP calculation (SCAN) on a crystal of Tl2In relaxed with PBEsol.

Lattice parameters (Å, degrees): 5.5431 5.5431 3.1362 90.00 90.00 120.00
Space group P6/mmm (No. 191)
Unique sites:
Tl 0.3333 0.6667 0.0000 [2 per cell]
In 0.0000 0.0000 0.5000 [1 per cell]

Output
E: -59.292 eV per atom
E_form: 0.0755 eV per atom
Volume: 27.82 A^3/atom

---

VASP calculation (SCAN) on a crystal of TlIn2 relaxed with PBEsol.

Lattice parameters (Å, degrees): 5.2761 5.2761 3.3219 90.00 90.00 120.00
Space group P6/mmm (No. 191)
Unique sites:
Tl 0.0000 0.0000 0.0000 [1 per cell]
In 0.3333 0.6667 0.5000 [2 per cell]

Output
E: -46.333 eV per atom
Energy above the lowest structure with this stoichiometry: 0.000 eV per atom
E_form: 0.0438 eV per atom
Volume: 26.69 A^3/atom

---

Q: Number 3 is which compound?
A: Tl4In5

---

Q: Which value of volume does entry 7 give?
A: 28.55 A^3/atom

---

Q: Look up the E_form of the fourth one.
A: 0.0713 eV per atom